A geometry-optimized YMoI2O structure, computed with PBE+U.

The structure in POSCAR format:
```
YMoI2O
1.0
6.2174 0.0000 0.0000
0.0000 6.2174 0.0000
0.0000 0.0000 4.1892
Y O I Mo
1 1 2 1
direct
0.0000 0.0000 0.0000 Y
0.0000 0.0000 0.5000 O
0.0000 0.5000 0.0000 I
0.5000 0.0000 0.0000 I
0.5000 0.5000 0.5000 Mo
```

Spin magnetization = 1.004 μB per atom
Final energy = -5.1879 eV per atom